The following is a PBE calculation of Dy7IrSe5 after structural relaxation, from the Alexandria database.

a = 7.0099 Å, b = 7.0099 Å, c = 24.4238 Å
α = 90.00°, β = 90.00°, γ = 147.24°
Last column: nearest neighbours and their distance in Å.
Element x y z (fractional)
Dy1 0.0460 0.9540 0.5000  2 Ir 2.80, 2 Se 2.94-2.97
Dy2 0.1307 0.8693 0.2168  6 Se 2.84-2.87
Dy3 0.1484 0.8516 0.7906  6 Se 2.82-2.91
Dy4 0.2869 0.7131 0.4337  3 Se 2.86-2.95, 2 Ir 3.03
Dy5 0.3053 0.6947 0.5689  2 Ir 2.86, 3 Se 2.91-2.97
Dy6 0.3940 0.6060 0.1243  4 Se 2.88-2.92, 1 Ir 2.98
Dy7 0.4231 0.5769 0.8628  5 Se 2.85-3.01
Dy8 0.5769 0.4231 0.3628  5 Se 2.85-3.01
Dy9 0.6060 0.3940 0.6243  4 Se 2.88-2.92, 1 Ir 2.98
Dy10 0.6947 0.3053 0.0689  2 Ir 2.86, 3 Se 2.91-2.97
Dy11 0.7131 0.2869 0.9337  3 Se 2.86-2.95, 2 Ir 3.03
Dy12 0.8516 0.1484 0.2906  6 Se 2.82-2.91
Dy13 0.8693 0.1307 0.7168  6 Se 2.84-2.87
Dy14 0.9540 0.0460 0.0000  2 Ir 2.80, 2 Se 2.94-2.97
Ir1 0.3082 0.6918 0.0120  7 Dy 2.80-3.03
Ir2 0.6918 0.3082 0.5120  7 Dy 2.80-3.03
Se1 0.0475 0.9525 0.1100  6 Dy 2.84-2.97
Se2 0.0647 0.9353 0.8964  6 Dy 2.82-2.95
Se3 0.2125 0.7875 0.3242  6 Dy 2.84-2.86
Se4 0.2295 0.7705 0.6803  6 Dy 2.87-2.92
Se5 0.4882 0.5118 0.2497  5 Dy 2.87-3.01
Se6 0.5118 0.4882 0.7497  5 Dy 2.87-3.01
Se7 0.7705 0.2295 0.1803  6 Dy 2.87-2.92
Se8 0.7875 0.2125 0.8242  6 Dy 2.84-2.86
Se9 0.9353 0.0647 0.3964  6 Dy 2.82-2.95
Se10 0.9525 0.0475 0.6100  6 Dy 2.84-2.97

Output
For the magnetization, the calculation gives 0.00 μB per formula unit. As for the uncorrected formation energy: -19.60 eV per formula unit. As for the crystal system: orthorhombic.

The following is a PBE calculation of TcHOsAuN after structural relaxation, from the Alexandria database.

a = 4.8884 Å, b = 2.7567 Å, c = 5.0335 Å
α = 90.00°, β = 101.23°, γ = 90.00°
Last column: nearest neighbours and their distance in Å.
Element x y z (fractional)
Tc1 0.0000 0.0000 0.0000  2 H 1.85, 2 N 1.97
H1 0.2564 0.5000 0.0454  2 Tc 1.85
Os1 0.8156 0.5000 0.5544  1 N 1.88
Au1 0.3364 0.0000 0.5822  4 Os 2.74-2.87, 2 Au 2.76, 4 H 2.80-2.99, 2 Tc 2.91-3.07
N1 0.8134 0.5000 0.1797  1 Os 1.88, 2 Tc 1.97

Output
For the magnetization, the calculation gives 0.00 μB per formula unit. The value obtained for the relative energy among the computed polymorphs is 0.071 eV per atom. As for the crystal system: monoclinic.

The following is a PBE calculation of LiDy2Cu16 after structural relaxation, from the Alexandria database.

a = 6.4722 Å, b = 6.4722 Å, c = 6.4722 Å
α = 82.49°, β = 82.49°, γ = 82.49°
Last column: nearest neighbours and their distance in Å.
Element x y z (fractional)
Li1 0.0000 0.0000 0.0000  7 Cu 2.42-2.71
Dy1 0.4312 0.4312 0.4312  19 Cu 3.00-3.29
Dy2 0.7438 0.7438 0.7438  15 Cu 3.00-3.29, 1 Li 3.23
Cu1 0.0942 0.3943 0.7947  8 Cu 2.46-2.61
Cu2 0.0942 0.7947 0.3943  8 Cu 2.46-2.61
Cu3 0.0949 0.0949 0.5923  9 Cu 2.46-2.60, 1 Li 2.64
Cu4 0.0949 0.5923 0.0949  9 Cu 2.46-2.60, 1 Li 2.64
Cu5 0.1921 0.1921 0.1921  1 Li 2.42, 6 Cu 2.60-2.66
Cu6 0.2519 0.7470 0.7470  8 Cu 2.47-2.61, 1 Li 2.71
Cu7 0.3943 0.0942 0.7947  8 Cu 2.46-2.61
Cu8 0.3943 0.7947 0.0942  8 Cu 2.46-2.61
Cu9 0.4383 0.4383 0.9383  9 Cu 2.46-2.66
Cu10 0.4383 0.9383 0.4383  9 Cu 2.46-2.66
Cu11 0.5923 0.0949 0.0949  9 Cu 2.46-2.60, 1 Li 2.64
Cu12 0.7470 0.2519 0.7470  8 Cu 2.47-2.61, 1 Li 2.71
Cu13 0.7470 0.7470 0.2519  8 Cu 2.47-2.61, 1 Li 2.71
Cu14 0.7947 0.0942 0.3943  8 Cu 2.46-2.61
Cu15 0.7947 0.3943 0.0942  8 Cu 2.46-2.61
Cu16 0.9383 0.4383 0.4383  9 Cu 2.46-2.66

Output
The value obtained for the energy of formation from the pure elements is -135 meV per atom. For the magnetization, the calculation gives 0.00 μB per formula unit. As for the crystal system: trigonal.

The following is a PBE calculation of SeI2F2 after structural relaxation, from the Alexandria database.

a = 7.9076 Å, b = 7.9076 Å, c = 3.1398 Å
α = 90.00°, β = 90.00°, γ = 90.00°
Last column: nearest neighbours and their distance in Å.
Element x y z (fractional)
Se1 0.0000 0.0000 0.0000  4 I 3.07, 2 Se 3.14, 8 F 3.31
Se2 0.5000 0.5000 0.0000  4 I 3.07, 2 Se 3.14, 8 F 3.31
I1 0.1374 0.3626 0.0000  2 F 2.60
I2 0.3626 0.8626 0.0000  2 F 2.60
I3 0.6374 0.1374 0.0000  2 F 2.60
I4 0.8626 0.6374 0.0000  2 F 2.60
F1 0.1767 0.6767 0.5000  2 I 2.60
F2 0.3233 0.1767 0.5000  2 I 2.60
F3 0.6767 0.8233 0.5000  2 I 2.60
F4 0.8233 0.3233 0.5000  2 I 2.60

Output
For the magnetization, the calculation gives 0.00 μB per formula unit. As for the uncorrected formation energy: -1.15 eV per formula unit. The value obtained for the relative energy among the computed polymorphs is 0.000 eV per atom. As for the crystal system: tetragonal.

The following is a PBE calculation of Sc2BC after structural relaxation, from the Alexandria database.

a = 3.3532 Å, b = 3.3532 Å, c = 21.7367 Å
α = 90.00°, β = 90.00°, γ = 120.00°
Last column: nearest neighbours and their distance in Å.
Element x y z (fractional)
Sc1 0.0000 0.0000 0.1115  3 C 2.28, 1 B 2.42
Sc2 0.0000 0.0000 0.8885  3 C 2.28, 1 B 2.42
Sc3 0.3333 0.6667 0.5552  3 C 2.28, 1 B 2.42
Sc4 0.3333 0.6667 0.7782  3 C 2.28, 1 B 2.42
Sc5 0.6667 0.3333 0.2218  3 C 2.28, 1 B 2.42
Sc6 0.6667 0.3333 0.4448  3 C 2.28, 1 B 2.42
B1 0.0000 0.0000 0.0000  2 Sc 2.42
B2 0.3333 0.6667 0.6667  2 Sc 2.42
B3 0.6667 0.3333 0.3333  2 Sc 2.42
C1 0.0000 0.0000 0.5000  6 Sc 2.28
C2 0.3333 0.6667 0.1667  6 Sc 2.28
C3 0.6667 0.3333 0.8333  6 Sc 2.28

Output
The value obtained for the energy of formation from the pure elements is 488 meV per atom. For the magnetization, the calculation gives 0.45 μB per formula unit. The value obtained for the relative energy among the computed polymorphs is 0.265 eV per atom. As for the crystal system: trigonal.

The following is a PBE calculation of BaTa2Be after structural relaxation, from the Alexandria database.

a = 3.0647 Å, b = 5.1912 Å, c = 5.2326 Å
α = 90.00°, β = 90.00°, γ = 90.00°
Last column: nearest neighbours and their distance in Å.
Element x y z (fractional)
Ba1 0.0000 0.0000 0.0000  4 Be 3.01, 4 Ta 3.03, 2 Ba 3.06
Ta1 0.0000 0.5000 0.5000  6 Ta 3.01-3.06, 4 Be 3.03
Ta2 0.5000 0.0000 0.5000  6 Ta 3.01-3.06, 4 Ba 3.03
Be1 0.5000 0.5000 0.0000  4 Ba 3.01, 4 Ta 3.03, 2 Be 3.06

Output
The value obtained for the energy of formation from the pure elements is 1160 meV per atom. For the magnetization, the calculation gives 0.00 μB per formula unit. As for the crystal system: orthorhombic.

The following is a PBE calculation of Rb2La2CeS6 after structural relaxation, from the Alexandria database.

a = 7.3346 Å, b = 7.3346 Å, c = 8.1658 Å
α = 98.72°, β = 98.72°, γ = 119.56°
Last column: nearest neighbours and their distance in Å.
Element x y z (fractional)
Rb1 0.1690 0.8310 0.0000  6 S 3.42-3.50
Rb2 0.8310 0.1690 0.0000  6 S 3.42-3.50
La1 0.3347 0.6653 0.5000  6 S 2.88-2.91
La2 0.6653 0.3347 0.5000  6 S 2.88-2.91
Ce1 0.0000 0.0000 0.5000  6 S 2.74-2.77
S1 0.0591 0.3820 0.6869  1 Ce 2.77, 2 La 2.88-2.91
S2 0.2511 0.2511 0.3123  1 Ce 2.74, 2 La 2.90
S3 0.3820 0.0591 0.6869  1 Ce 2.77, 2 La 2.88-2.91
S4 0.6180 0.9409 0.3131  1 Ce 2.77, 2 La 2.88-2.91
S5 0.7489 0.7489 0.6877  1 Ce 2.74, 2 La 2.90
S6 0.9409 0.6180 0.3131  1 Ce 2.77, 2 La 2.88-2.91

Output
For the magnetization, the calculation gives 0.00 μB per formula unit. As for the uncorrected formation energy: -20.55 eV per formula unit. As for the crystal system: monoclinic.